## Pr2MnGeRh6 (GGA-PBE)

Data for a relaxed Pr2MnGeRh6 crystal.

Summary:
Calculated density in Mg/m³: 8.760
Formation energy from the elements in eV per atom: -0.33

```
Pr2MnGeRh6
1.0
6.045 0.000 0.000
2.923 5.843 0.000
2.951 2.155 5.511
Pr Mn Ge Rh
2 1 1 6
Cartesian
2.373 2.435 1.573
9.546 5.563 3.938
0.000 0.000 0.000
5.960 3.999 2.756
6.477 5.684 4.514
4.639 2.075 3.603
5.172 4.976 0.615
6.747 3.021 4.897
7.280 5.922 1.908
5.442 2.313 0.997
```